[1]
Compound: KSr2BiH
Source: Alexandria
Functional: GGA-PBE
Structure: relaxed

a = 5.417 Å, b = 5.417 Å, c = 5.254 Å
α = 90.00°, β = 90.00°, γ = 90.00°
Sites, in units of the cell vectors:
K  0.000  0.000  0.000
Sr  0.000  0.500  0.500
Sr  0.500  0.000  0.500
Bi  0.500  0.500  0.000
H  0.000  0.000  0.500

Results
SG: P4/mmm, No. 123
Calculated density (g/cm³): 4.57
Magnetization (Bohr magnetons per cell): 0.000
Total DFT energy (no corrections) (eV per atom): -2.765

=====

[2]
Compound: K2SrBiH
Source: Alexandria
Functional: GGA-PBE
Structure: relaxed

a = 5.194 Å, b = 5.194 Å, c = 5.710 Å
α = 90.00°, β = 90.00°, γ = 90.00°
Sites, in units of the cell vectors:
K  0.000  0.500  0.000
K  0.500  0.000  0.000
Sr  0.000  0.000  0.500
Bi  0.500  0.500  0.500
H  0.000  0.000  0.000

Results
SG: P4/mmm, No. 123
Calculated density (g/cm³): 4.05
Magnetization (Bohr magnetons per cell): 0.000
Total DFT energy (no corrections) (eV per atom): -2.687

=====

[3]
Compound: K2TcBiH
Source: Alexandria
Functional: GGA-PBE
Structure: relaxed

a = 4.511 Å, b = 4.511 Å, c = 6.128 Å
α = 90.00°, β = 90.00°, γ = 90.00°
Sites, in units of the cell vectors:
K  0.000  0.500  0.000
K  0.500  0.000  0.000
Tc  0.000  0.000  0.500
Bi  0.500  0.500  0.500
H  0.500  0.500  0.000

Results
SG: P4/mmm, No. 123
Calculated density (g/cm³): 5.14
Magnetization (Bohr magnetons per cell): 2.858
Total DFT energy (no corrections) (eV per atom): -3.199

=====

[4]
Compound: K2TlBiH
Source: Alexandria
Functional: GGA-PBE
Structure: relaxed

a = 5.070 Å, b = 5.070 Å, c = 5.623 Å
α = 90.00°, β = 90.00°, γ = 90.00°
Sites, in units of the cell vectors:
K  0.000  0.500  0.000
K  0.500  0.000  0.000
Tl  0.000  0.000  0.500
Bi  0.500  0.500  0.500
H  0.000  0.000  0.000

Results
SG: P4/mmm, No. 123
Calculated density (g/cm³): 5.66
Magnetization (Bohr magnetons per cell): 0.000
Energy above the lowest structure with this stoichiometry (meV/atom): 0.0

=====

[5]
Compound: KTl2BiH
Source: Alexandria
Functional: GGA-PBE
Structure: relaxed

a = 5.546 Å, b = 5.546 Å, c = 4.608 Å
α = 90.00°, β = 90.00°, γ = 90.00°
Sites, in units of the cell vectors:
K  0.000  0.000  0.000
Tl  0.000  0.500  0.500
Tl  0.500  0.000  0.500
Bi  0.500  0.500  0.000
H  0.500  0.500  0.500

Results
SG: P4/mmm, No. 123
Calculated density (g/cm³): 7.71
Magnetization (Bohr magnetons per cell): 0.000
Energy above the lowest structure with this stoichiometry (meV/atom): 75.9

=====

[6]
Compound: K2TlBiH
Source: Alexandria
Functional: GGA-PBE
Structure: relaxed

a = 5.727 Å, b = 5.727 Å, c = 4.620 Å
α = 90.00°, β = 90.00°, γ = 90.00°
Sites, in units of the cell vectors:
K  0.000  0.500  0.000
K  0.500  0.000  0.000
Tl  0.000  0.000  0.500
Bi  0.500  0.500  0.500
H  0.500  0.500  0.000

Results
SG: P4/mmm, No. 123
Calculated density (g/cm³): 5.40
Magnetization (Bohr magnetons per cell): 0.001
Energy above the lowest structure with this stoichiometry (meV/atom): 42.5

=====

[7]
Compound: KTl2BiH
Source: Alexandria
Functional: GGA-PBE
Structure: relaxed

a = 5.191 Å, b = 5.191 Å, c = 5.016 Å
α = 90.00°, β = 90.00°, γ = 90.00°
Sites, in units of the cell vectors:
K  0.000  0.000  0.000
Tl  0.000  0.500  0.500
Tl  0.500  0.000  0.500
Bi  0.500  0.500  0.000
H  0.000  0.000  0.500

Results
SG: P4/mmm, No. 123
Calculated density (g/cm³): 8.08
Magnetization (Bohr magnetons per cell): 0.000
Energy above the lowest structure with this stoichiometry (meV/atom): 0.0

=====

[8]
Compound: La5Bi4H3
Source: Alexandria
Functional: GGA-PBE
Structure: relaxed

a = 10.120 Å, b = 10.120 Å, c = 12.103 Å
α = 120.62°, β = 120.62°, γ = 24.48°
Sites, in units of the cell vectors:
La  0.000  0.000  0.000
La  0.118  0.118  0.619
La  0.158  0.158  0.909
La  0.842  0.842  0.091
La  0.882  0.882  0.381
Bi  0.026  0.026  0.312
Bi  0.308  0.308  0.854
Bi  0.692  0.692  0.146
Bi  0.974  0.974  0.688
H  0.138  0.138  0.074
H  0.500  0.500  0.000
H  0.862  0.862  0.926

Results
SG: C2/m, No. 12
Calculated density (g/cm³): 5.81
Magnetization (Bohr magnetons per cell): 0.020
Total DFT energy (no corrections) (eV per atom): -4.315

=====

[9]
Compound: LaBiH
Source: Alexandria
Functional: GGA-PBE
Structure: relaxed

a = 6.438 Å, b = 6.438 Å, c = 6.438 Å
α = 148.91°, β = 148.91°, γ = 44.54°
Sites, in units of the cell vectors:
La  0.000  0.000  0.000
Bi  0.286  0.286  0.000
H  0.552  0.552  0.000

Results
SG: I4mm, No. 107
Calculated density (g/cm³): 8.17
Magnetization (Bohr magnetons per cell): 0.000
Energy above the lowest structure with this stoichiometry (meV/atom): 209.9

=====

[10]
Compound: La5Bi5H2
Source: Alexandria
Functional: GGA-PBE
Structure: relaxed

a = 9.140 Å, b = 9.140 Å, c = 12.305 Å
α = 128.68°, β = 128.68°, γ = 26.99°
Sites, in units of the cell vectors:
La  0.000  0.000  0.000
La  0.033  0.033  0.339
La  0.284  0.284  0.204
La  0.716  0.716  0.796
La  0.967  0.967  0.661
Bi  0.301  0.301  0.646
Bi  0.387  0.387  0.056
Bi  0.500  0.500  0.500
Bi  0.613  0.613  0.944
Bi  0.699  0.699  0.354
H  0.138  0.138  0.759
H  0.862  0.862  0.241

Results
SG: C2/m, No. 12
Calculated density (g/cm³): 8.09
Magnetization (Bohr magnetons per cell): 0.000
Total DFT energy (no corrections) (eV per atom): -4.993

=====

[11]
Compound: LaBi3H
Source: Alexandria
Functional: GGA-PBE
Structure: relaxed

a = 5.047 Å, b = 5.047 Å, c = 5.047 Å
α = 90.00°, β = 90.00°, γ = 90.00°
Sites, in units of the cell vectors:
La  0.000  0.000  0.000
Bi  0.000  0.500  0.500
Bi  0.500  0.000  0.500
Bi  0.500  0.500  0.000
H  0.500  0.500  0.500

Results
SG: Pm-3m, No. 221
Calculated density (g/cm³): 9.91
Magnetization (Bohr magnetons per cell): 0.000
Energy above the lowest structure with this stoichiometry (meV/atom): 0.0

=====

[12]
Compound: La3BiH3
Source: Alexandria
Functional: GGA-PBE
Structure: relaxed

a = 6.681 Å, b = 6.681 Å, c = 6.681 Å
α = 90.00°, β = 90.00°, γ = 90.00°
Sites, in units of the cell vectors:
La  0.000  0.250  0.500
La  0.000  0.750  0.500
La  0.250  0.500  0.000
La  0.500  0.000  0.250
La  0.500  0.000  0.750
La  0.750  0.500  0.000
Bi  0.000  0.000  0.000
Bi  0.500  0.500  0.500
H  0.000  0.500  0.250
H  0.000  0.500  0.750
H  0.250  0.000  0.500
H  0.500  0.250  0.000
H  0.500  0.750  0.000
H  0.750  0.000  0.500

Results
SG: Pm-3n, No. 223
Calculated density (g/cm³): 7.00
Magnetization (Bohr magnetons per cell): 1.198
Energy above the lowest structure with this stoichiometry (meV/atom): 16.5